(1)
# CdNiGe3

A relaxed structure of CdNiGe3 (PBE, Alexandria).

energy above the most stable polymorph in this dataset	0.00	eV/f.u.
total moment	0.00	μB per cell
DOS at the Fermi energy	1.543	states/eV/f.u.
energy relative to the elements	0.206	eV/atom

Cell: 4.673 4.673 4.673 Å, 90.00 90.00 90.00°
Atoms (fractional coordinates):
Cd: 0.000 0.000 0.000
Ni: 0.500 0.500 0.500
Ge: 0.000 0.500 0.500
Ge: 0.500 0.000 0.500
Ge: 0.500 0.500 0.000

(2)
# Hg3SI2

A relaxed structure of Hg3SI2 (PBE, Alexandria).

energy above the most stable polymorph in this dataset	0.00	eV/f.u.
E_form (uncorrected)	-0.0828	eV/atom
total moment	0.00	μB per cell
DOS at the Fermi energy	0.316	states/eV/f.u.

Cell: 8.709 8.709 7.373 Å, 90.00 90.00 51.83°
Atoms (fractional coordinates):
Hg: 0.053 0.609 0.834
Hg: 0.087 0.913 0.500
Hg: 0.391 0.947 0.834
Hg: 0.609 0.053 0.334
Hg: 0.913 0.087 0.000
Hg: 0.947 0.391 0.334
S: 0.198 0.802 0.823
S: 0.802 0.198 0.323
I: 0.158 0.558 0.323
I: 0.442 0.842 0.323
I: 0.558 0.158 0.823
I: 0.842 0.442 0.823